! SrLiRh (PBE, optimized geometry); values from VASP
! Space-group type: I4mm, No. 107
! Raw total energy: -0.2718 Ry/atom
! Calculated formation energy: -0.049 eV per atom
! Excess energy over the best structure of this formula in the dataset: 31 kJ/mol of formula units
&SYSTEM
  ibrav = 0, nat = 3, ntyp = 3
/
ATOMIC_SPECIES
Sr 87.62 Sr.upf
Li 6.94 Li.upf
Rh 102.91 Rh.upf
ATOMIC_POSITIONS angstrom
Sr 0.000 0.000 0.000
Li 0.000 0.000 2.788
Rh 0.000 0.000 6.931
CELL_PARAMETERS angstrom
-1.782 1.782 5.017
1.782 -1.782 5.017
1.782 1.782 -5.017